An optimized crystal structure of AcGaGe2, computed with GGA-PBE.

Cell: 3.769 3.769 6.683 Å, 90.00 90.00 90.00°
Positions (direct):
1 Ac 0.000 0.000 0.000
2 Ga 0.000 0.000 0.500
3 Ge 0.500 0.500 0.311
4 Ge 0.500 0.500 0.689

Properties
volume	95	Å³ per cell
total magnetic moment	0.00	μB/f.u.
calculated total energy	-17.49	eV/cell
formation energy	-0.279	eV/atom